PBE Rb2BePbBr6, optimized geometry; crystal system = triclinic; E_form (uncorrected) = -1.25 eV per atom; offset from the most stable computed form = 0 meV per atom
1.0
7.9008 0.0000 0.0000
-3.9499 6.8472 0.0000
-0.0041 -4.5566 7.9906
Rb Be Pb Br
2 1 1 6
Direct
0.0000 0.0000 0.0000
0.4932 0.9864 0.4798
0.2245 0.4479 0.6728
0.7838 0.5675 0.3518
0.0554 0.7177 0.1737
0.1628 0.6747 0.6685
0.4556 0.5115 0.1740
0.5134 0.5056 0.6690
0.6620 0.1183 0.1736
0.9933 0.1550 0.6684

---

PBE BePbSeBr2, optimized geometry; crystal system = tetragonal; E_form (uncorrected) = 0.85 eV per atom; offset from the most stable computed form = 1180 meV per atom
1.0
6.0800 0.0000 0.0000
0.0000 6.0800 0.0000
0.0000 0.0000 11.4368
Be Pb Se Br
1 1 1 2
Direct
0.0000 0.0000 0.0000
0.5000 0.5000 0.5000
0.5000 0.5000 0.0000
0.0000 0.5000 0.5000
0.5000 0.0000 0.5000

---

PBE BePbSeBr2, optimized geometry; crystal system = tetragonal; E_form (uncorrected) = -0.33 eV per atom; offset from the most stable computed form = 0 meV per atom
1.0
5.1786 0.0000 0.0000
0.0000 5.1786 0.0000
0.0000 0.0000 4.8702
Be Pb Se Br
1 1 1 2
Direct
0.0000 0.0000 0.0000
0.5000 0.5000 0.5000
0.0000 0.0000 0.5000
0.0000 0.5000 0.0000
0.5000 0.0000 0.0000

---

PBE SrBePbBr2, optimized geometry; crystal system = tetragonal; E_form (uncorrected) = -0.38 eV per atom
1.0
5.2851 0.0000 0.0000
0.0000 5.2851 0.0000
0.0000 0.0000 5.0280
Sr Be Pb Br
1 1 1 2
Direct
0.0000 0.0000 0.0000
0.5000 0.5000 0.5000
0.5000 0.5000 0.0000
0.0000 0.5000 0.5000
0.5000 0.0000 0.5000

---

E_form (uncorrected) of number 1 (Rb2BePbBr6)?
-1.25 eV per atom